Here is SmDyPaO6 after structural relaxation from the Alexandria database. Energies are from GGA-PBE.

Values from the calculation:
Total magnetization (μB/atom): 0.071
Theoretical density (g/cm³): 7.63
ΔE_f (raw) (eV per atom): -3.176

Cell: 5.8626 5.8626 4.6796 Å, 90.00 90.00 120.00°
Closest atoms and distances in Å follow each position.
Space group P312 (No. 149)
Asymmetric unit:
Sm 0.0000 0.0000 0.0000 [1 per cell]  6 O 2.34
Dy 0.3333 0.6667 0.0000 [1 per cell]  6 O 2.29
Pa 0.6667 0.3333 0.5000 [1 per cell]  6 O 2.20
O 0.3547 0.0139 0.2466 [6 per cell]  1 Pa 2.20, 1 Dy 2.29, 1 Sm 2.34



Here is Dy2PaSnO8 after structural relaxation from the Alexandria database. Energies are from GGA-PBE.

Values from the calculation:
Total magnetization (μB/atom): 0.067
Theoretical density (g/cm³): 8.72
ΔE_f (raw) (eV per atom): -2.865

Cell: 3.7625 7.5633 5.3701 Å, 90.00 90.10 90.00°
Closest atoms and distances in Å follow each position.
Space group P2/m (No. 10)
Asymmetric unit:
Dy 0.0000 0.2458 0.0000 [2 per cell]  8 O 2.35-2.37
Pa 0.5000 0.5000 0.5000 [1 per cell]  8 O 2.29-2.31
Sn 0.5000 0.0000 0.5000 [1 per cell]  8 O 2.25-2.26
O 0.0003 0.5000 0.2575 [2 per cell]  2 Pa 2.29, 2 Dy 2.37
O 0.0014 0.0000 0.2681 [2 per cell]  2 Sn 2.25-2.26, 2 Dy 2.35, 1 O 2.49
O 0.4992 0.2458 0.7381 [4 per cell]  1 Sn 2.26, 1 Pa 2.31, 2 Dy 2.35



Here is Sr2DyPaO6 after structural relaxation from the Alexandria database. Energies are from GGA-PBE.

Values from the calculation:
Total magnetization (μB/atom): 0.000
Theoretical density (g/cm³): 6.95
ΔE_f (raw) (eV per atom): -3.386

Cell: 6.0128 6.1528 10.4748 Å, 90.00 124.91 90.00°
Closest atoms and distances in Å follow each position.
Space group P2_1/c (No. 14)
Asymmetric unit:
Sr 0.2371 0.0438 0.2490 [4 per cell]  4 O 2.52-2.65
Dy 0.0000 0.0000 0.5000 [2 per cell]  6 O 2.28-2.29
Pa 0.5000 0.0000 0.0000 [2 per cell]  6 O 2.19-2.20
O 0.1551 0.1979 0.9474 [4 per cell]  1 Pa 2.19, 1 Dy 2.28
O 0.2454 0.7097 0.9429 [4 per cell]  1 Pa 2.20, 1 Dy 2.28
O 0.3579 0.0403 0.7555 [4 per cell]  1 Pa 2.20, 1 Dy 2.29